## Ge2MoBr (meta-GGA SCAN)

Data for a PBEsol-optimized structure of Ge2MoBr.

a b c (Å): 4.6368 4.6368 4.6368
angles (deg): 60.00 60.00 60.00
Last column: nearest neighbours and their distance in Å.
Fractional positions:
Ge (0.2500, 0.2500, 0.2500)  4 Mo 2.84, 4 Br 2.84
Ge (0.7500, 0.7500, 0.7500)  4 Mo 2.84, 4 Br 2.84
Mo (0.0000, 0.0000, 0.0000)  8 Ge 2.84
Br (0.5000, 0.5000, 0.5000)  8 Ge 2.84

Properties
Calculated volume, Å³/f.u.: 70.5
ΔE_f (raw), meV/atom: 1153
Symmetry: Fm-3m, No. 225